# Y3Ga2Sn PBE-GGA optimized geometry
data_Y3Ga2Sn
_chemical_formula_sum 'Y12 Ga8 Sn4'
_cell_length_a 12.095
_cell_length_b 4.399
_cell_length_c 11.556
_cell_angle_alpha 90.00
_cell_angle_beta 90.00
_cell_angle_gamma 90.00
_symmetry_space_group_name_H-M 'P n m a'
_symmetry_Int_Tables_number 62
_symmetry_space_group_name_Hall '-P 2ac 2n'
loop_
_atom_site_label
_atom_site_type_symbol
_atom_site_fract_x
_atom_site_fract_y
_atom_site_fract_z
Y1 Y 0.051 0.250 0.117
Y2 Y 0.134 0.750 0.577
Y3 Y 0.204 0.250 0.816
Ga1 Ga 0.005 0.750 0.303
Ga2 Ga 0.185 0.750 0.022
Sn1 Sn 0.128 0.250 0.377
# crystal system: orthorhombic
# density of states at the Fermi level: 4.47 states/eV/f.u.
# electronic total energy: -131.61 eV for the cell shown
# formation energy from the elements: -575.6 meV per atom


# YGaSn3 PBE-GGA optimized geometry
data_YGaSn3
_chemical_formula_sum 'Y1 Ga1 Sn3'
_cell_length_a 5.772
_cell_length_b 5.772
_cell_length_c 5.772
_cell_angle_alpha 90.00
_cell_angle_beta 90.00
_cell_angle_gamma 90.00
_symmetry_space_group_name_H-M 'P m -3 m'
_symmetry_Int_Tables_number 221
_symmetry_space_group_name_Hall '-P 4 2 3'
loop_
_atom_site_label
_atom_site_type_symbol
_atom_site_fract_x
_atom_site_fract_y
_atom_site_fract_z
Y1 Y 0.000 0.000 0.000
Ga1 Ga 0.500 0.500 0.500
Sn1 Sn 0.000 0.000 0.500
# crystal system: cubic
# relative energy among the computed polymorphs: 0.791 eV per atom
# density of states at the Fermi level: 3.05 states/eV/f.u.
# electronic total energy: -19.14 eV for the cell shown
# formation energy from the elements: 471.5 meV per atom


# Y2GaSn4 PBE-GGA optimized geometry
data_Y2GaSn4
_chemical_formula_sum 'Y8 Ga4 Sn16'
_cell_length_a 8.881
_cell_length_b 8.925
_cell_length_c 9.495
_cell_angle_alpha 90.00
_cell_angle_beta 90.00
_cell_angle_gamma 90.00
_symmetry_space_group_name_H-M 'F m m m'
_symmetry_Int_Tables_number 69
_symmetry_space_group_name_Hall '-F 2 2'
loop_
_atom_site_label
_atom_site_type_symbol
_atom_site_fract_x
_atom_site_fract_y
_atom_site_fract_z
Y1 Y 0.250 0.250 0.000
Ga1 Ga 0.000 0.000 0.000
Sn1 Sn 0.000 0.250 0.250
Sn2 Sn 0.250 0.000 0.250
# crystal system: orthorhombic
# density of states at the Fermi level: 3.71 states/eV/f.u.
# electronic total energy: -140.36 eV for the cell shown
# formation energy from the elements: -446.3 meV per atom


# YGaSn2 PBE-GGA optimized geometry
data_YGaSn2
_chemical_formula_sum 'Y1 Ga1 Sn2'
_cell_length_a 4.527
_cell_length_b 4.527
_cell_length_c 4.728
_cell_angle_alpha 90.00
_cell_angle_beta 90.00
_cell_angle_gamma 90.00
_symmetry_space_group_name_H-M 'P 4/m m m'
_symmetry_Int_Tables_number 123
_symmetry_space_group_name_Hall '-P 4 2'
loop_
_atom_site_label
_atom_site_type_symbol
_atom_site_fract_x
_atom_site_fract_y
_atom_site_fract_z
Y1 Y 0.000 0.000 0.000
Ga1 Ga 0.500 0.500 0.000
Sn1 Sn 0.000 0.500 0.500
# crystal system: tetragonal
# density of states at the Fermi level: 1.24 states/eV/f.u.
# electronic total energy: -19.36 eV for the cell shown
# formation energy from the elements: -465.9 meV per atom


# Y8GaSn2 PBE-GGA optimized geometry
data_Y8GaSn2
_chemical_formula_sum 'Y16 Ga2 Sn4'
_cell_length_a 19.390
_cell_length_b 5.046
_cell_length_c 6.749
_cell_angle_alpha 90.00
_cell_angle_beta 104.48
_cell_angle_gamma 90.00
_symmetry_space_group_name_H-M 'C 1 2/m 1'
_symmetry_Int_Tables_number 12
_symmetry_space_group_name_Hall '-C 2y'
loop_
_atom_site_label
_atom_site_type_symbol
_atom_site_fract_x
_atom_site_fract_y
_atom_site_fract_z
Y1 Y 0.021 0.000 0.279
Y2 Y 0.091 0.500 0.968
Y3 Y 0.153 0.500 0.499
Y4 Y 0.217 0.000 0.821
Ga1 Ga 0.000 0.500 0.500
Sn1 Sn 0.181 0.000 0.256
# crystal system: monoclinic
# density of states at the Fermi level: 9.80 states/eV/f.u.
# electronic total energy: -134.38 eV for the cell shown
# formation energy from the elements: -404.2 meV per atom


# YGa2Sn PBE-GGA optimized geometry
data_YGa2Sn
_chemical_formula_sum 'Y3 Ga6 Sn3'
_cell_length_a 4.6643
_cell_length_b 4.6643
_cell_length_c 14.8369
_cell_angle_alpha 90.00
_cell_angle_beta 90.00
_cell_angle_gamma 120.00
_symmetry_space_group_name_H-M 'R -3 m'
_symmetry_Int_Tables_number 166
_symmetry_space_group_name_Hall '-R 3 2"'
loop_
_atom_site_label
_atom_site_type_symbol
_atom_site_fract_x
_atom_site_fract_y
_atom_site_fract_z
Y1 Y 0.0000 0.0000 0.0000
Ga1 Ga 0.0000 0.0000 0.2290
Sn1 Sn 0.0000 0.0000 0.5000
# crystal system: trigonal
# density of states at the Fermi level: 3.14 states/eV/f.u.
# electronic total energy: -52.58 eV for the cell shown
# formation energy from the elements: -251.7 meV per atom


# YGaSn2 PBE-GGA optimized geometry
data_YGaSn2
_chemical_formula_sum 'Y3 Ga3 Sn6'
_cell_length_a 4.9960
_cell_length_b 4.9960
_cell_length_c 22.7545
_cell_angle_alpha 90.00
_cell_angle_beta 90.00
_cell_angle_gamma 120.00
_symmetry_space_group_name_H-M 'R -3 m'
_symmetry_Int_Tables_number 166
_symmetry_space_group_name_Hall '-R 3 2"'
loop_
_atom_site_label
_atom_site_type_symbol
_atom_site_fract_x
_atom_site_fract_y
_atom_site_fract_z
Y1 Y 0.0000 0.0000 0.0000
Ga1 Ga 0.0000 0.0000 0.5000
Sn1 Sn 0.0000 0.0000 0.3839
# crystal system: trigonal
# density of states at the Fermi level: 3.74 states/eV/f.u.
# electronic total energy: -49.29 eV for the cell shown
# formation energy from the elements: 266.4 meV per atom


# YGa2Sn PBE-GGA optimized geometry
data_YGa2Sn
_chemical_formula_sum 'Y4 Ga8 Sn4'
_cell_length_a 7.934
_cell_length_b 7.934
_cell_length_c 6.115
_cell_angle_alpha 90.00
_cell_angle_beta 90.00
_cell_angle_gamma 90.00
_symmetry_space_group_name_H-M 'I -4 2 d'
_symmetry_Int_Tables_number 122
_symmetry_space_group_name_Hall 'I -4 2bw'
loop_
_atom_site_label
_atom_site_type_symbol
_atom_site_fract_x
_atom_site_fract_y
_atom_site_fract_z
Y1 Y 0.000 0.000 0.000
Ga1 Ga 0.226 0.750 0.625
Sn1 Sn 0.000 0.000 0.500
# crystal system: tetragonal
# density of states at the Fermi level: 2.45 states/eV/f.u.
# electronic total energy: -70.35 eV for the cell shown
# formation energy from the elements: -266.6 meV per atom


# Y3GaSn PBE-GGA optimized geometry
data_Y3GaSn
_chemical_formula_sum 'Y6 Ga2 Sn2'
_cell_length_a 3.601
_cell_length_b 8.430
_cell_length_c 9.263
_cell_angle_alpha 76.12
_cell_angle_beta 89.94
_cell_angle_gamma 90.00
_symmetry_space_group_name_H-M 'P -1'
_symmetry_Int_Tables_number 2
_symmetry_space_group_name_Hall '-P 1'
loop_
_atom_site_label
_atom_site_type_symbol
_atom_site_fract_x
_atom_site_fract_y
_atom_site_fract_z
Y1 Y 0.250 0.143 0.329
Y2 Y 0.250 0.673 0.405
Y3 Y 0.250 0.675 0.026
Ga1 Ga 0.249 0.562 0.738
Sn1 Sn 0.249 0.068 0.838
# crystal system: triclinic
# relative energy among the computed polymorphs: 0.000 eV per atom
# density of states at the Fermi level: 4.60 states/eV/f.u.
# electronic total energy: -57.66 eV for the cell shown
# formation energy from the elements: -481.3 meV per atom


# Y2GaSn2 PBE-GGA optimized geometry
data_Y2GaSn2
_chemical_formula_sum 'Y4 Ga2 Sn4'
_cell_length_a 7.606
_cell_length_b 7.606
_cell_length_c 4.507
_cell_angle_alpha 90.00
_cell_angle_beta 90.00
_cell_angle_gamma 90.00
_symmetry_space_group_name_H-M 'P 4/m b m'
_symmetry_Int_Tables_number 127
_symmetry_space_group_name_Hall '-P 4 2ab'
loop_
_atom_site_label
_atom_site_type_symbol
_atom_site_fract_x
_atom_site_fract_y
_atom_site_fract_z
Y1 Y 0.174 0.326 0.000
Ga1 Ga 0.000 0.000 0.500
Sn1 Sn 0.134 0.634 0.500
# crystal system: tetragonal
# relative energy among the computed polymorphs: 0.000 eV per atom
# density of states at the Fermi level: 2.79 states/eV/f.u.
# electronic total energy: -53.52 eV for the cell shown
# formation energy from the elements: -560.3 meV per atom


# Y2Ga9Sn PBE-GGA optimized geometry
data_Y2Ga9Sn
_chemical_formula_sum 'Y2 Ga9 Sn1'
_cell_length_a 4.280
_cell_length_b 4.280
_cell_length_c 13.252
_cell_angle_alpha 90.00
_cell_angle_beta 90.00
_cell_angle_gamma 90.00
_symmetry_space_group_name_H-M 'P 4/m m m'
_symmetry_Int_Tables_number 123
_symmetry_space_group_name_Hall '-P 4 2'
loop_
_atom_site_label
_atom_site_type_symbol
_atom_site_fract_x
_atom_site_fract_y
_atom_site_fract_z
Y1 Y 0.000 0.000 0.160
Ga1 Ga 0.000 0.500 0.000
Ga2 Ga 0.000 0.500 0.329
Ga3 Ga 0.500 0.500 0.160
Ga4 Ga 0.500 0.500 0.500
Sn1 Sn 0.000 0.000 0.500
# crystal system: tetragonal
# density of states at the Fermi level: 4.61 states/eV/f.u.
# electronic total energy: -47.74 eV for the cell shown
# formation energy from the elements: -297.1 meV per atom


# Y3GaSn PBE-GGA optimized geometry
data_Y3GaSn
_chemical_formula_sum 'Y3 Ga1 Sn1'
_cell_length_a 5.383
_cell_length_b 5.383
_cell_length_c 5.383
_cell_angle_alpha 90.00
_cell_angle_beta 90.00
_cell_angle_gamma 90.00
_symmetry_space_group_name_H-M 'P m -3 m'
_symmetry_Int_Tables_number 221
_symmetry_space_group_name_Hall '-P 4 2 3'
loop_
_atom_site_label
_atom_site_type_symbol
_atom_site_fract_x
_atom_site_fract_y
_atom_site_fract_z
Y1 Y 0.000 0.000 0.500
Ga1 Ga 0.000 0.000 0.000
Sn1 Sn 0.500 0.500 0.500
# crystal system: cubic
# relative energy among the computed polymorphs: 0.200 eV per atom
# density of states at the Fermi level: 0.81 states/eV/f.u.
# electronic total energy: -27.83 eV for the cell shown
# formation energy from the elements: -281.6 meV per atom